Arrangement A

First-principles (GGA-PBE) data for Nd4Tl3Pd after structural relaxation, as listed in Alexandria via LeMat-Bulk.

Cell lengths 3.702, 3.702, 16.484 Å; angles 90.00, 90.00, 90.00 degrees
Sites, in units of the cell vectors:
Tl (0.500, 0.500, 0.239)
Tl (0.500, 0.500, 0.500)
Tl (0.500, 0.500, 0.761)
Pd (0.500, 0.500, 0.000)
Nd (0.000, 0.000, 0.894)
Nd (0.000, 0.000, 0.368)
Nd (0.000, 0.000, 0.106)
Nd (0.000, 0.000, 0.632)

Values from the calculation:
D(E_F): 6.791 states/eV/cell

=====

Arrangement B

First-principles (GGA-PBE) data for Nd4Tl3Pd after structural relaxation, as listed in Alexandria via LeMat-Bulk.

Cell lengths 3.993, 4.939, 11.960 Å; angles 90.00, 90.00, 90.00 degrees
Sites, in units of the cell vectors:
Nd (0.500, 0.500, 0.334)
Nd (0.000, 0.000, 0.140)
Nd (0.500, 0.000, 0.649)
Nd (0.000, 0.500, 0.879)
Pd (0.500, 0.500, 0.080)
Tl (0.500, 0.000, 0.919)
Tl (0.000, 0.500, 0.587)
Tl (0.000, 0.000, 0.413)

Values from the calculation:
D(E_F): 8.302 states/eV/cell

=====

Short version: arrangement A is the most stable of them.

=====

Arrangement A

First-principles (GGA-PBE) data for NdTlPd after structural relaxation, as listed in Alexandria via LeMat-Bulk.

Cell lengths 3.669, 4.819, 4.819 Å; angles 120.00, 90.00, 90.00 degrees
Sites, in units of the cell vectors:
Pd (0.167, 0.333, 0.667)
Nd (0.667, 0.667, 0.333)
Tl (0.167, 0.000, 0.000)

Values from the calculation:
D(E_F): 2.485 states/eV/cell

=====

Arrangement B

First-principles (GGA-PBE) data for NdTlPd after structural relaxation, as listed in Alexandria via LeMat-Bulk.

Cell lengths 7.981, 7.981, 3.919 Å; angles 90.00, 90.00, 120.00 degrees
Sites, in units of the cell vectors:
Nd (0.405, 0.405, 0.500)
Nd (0.000, 0.595, 0.500)
Nd (0.595, 0.000, 0.500)
Tl (0.737, 0.737, 0.000)
Tl (0.263, 0.000, 0.000)
Tl (0.000, 0.263, 0.000)
Pd (0.000, 0.000, 0.500)
Pd (0.333, 0.667, 0.000)
Pd (0.667, 0.333, 0.000)

Values from the calculation:
D(E_F): 6.875 states/eV/cell

=====

Short version: arrangement B is the most stable of them.

=====

Arrangement A

First-principles (GGA-PBE) data for NdTm3Pd after structural relaxation, as listed in Alexandria via LeMat-Bulk.

Cell lengths 7.566, 7.566, 7.111 Å; angles 101.63, 116.22, 113.28 degrees
Sites, in units of the cell vectors:
Tm (0.763, 0.496, 0.662)
Tm (0.167, 0.900, 0.662)
Tm (0.302, 0.575, 0.877)
Tm (0.833, 0.100, 0.338)
Tm (0.698, 0.425, 0.123)
Tm (0.237, 0.504, 0.338)
Pd (0.347, 0.278, 0.625)
Pd (0.653, 0.722, 0.375)
Nd (0.263, 0.956, 0.220)
Nd (0.737, 0.044, 0.780)

Values from the calculation:
D(E_F): 13.310 states/eV/cell

=====

Arrangement B

First-principles (GGA-PBE) data for NdTm3Pd after structural relaxation, as listed in Alexandria via LeMat-Bulk.

Cell lengths 5.410, 5.410, 5.410 Å; angles 90.00, 90.00, 90.00 degrees
Sites, in units of the cell vectors:
Tm (0.000, 0.500, 0.000)
Tm (0.000, 0.000, 0.500)
Tm (0.500, 0.000, 0.000)
Pd (0.000, 0.000, 0.000)
Nd (0.500, 0.500, 0.500)

Values from the calculation:
D(E_F): 7.661 states/eV/cell

=====

Short version: arrangement A is the most stable of them.

=====

Arrangement A

First-principles (GGA-PBE) data for NdTmPd2 after structural relaxation, as listed in Alexandria via LeMat-Bulk.

Cell lengths 5.022, 5.022, 5.022 Å; angles 60.00, 60.00, 60.00 degrees
Sites, in units of the cell vectors:
Nd (0.500, 0.500, 0.500)
Tm (0.000, 0.000, 0.000)
Pd (0.750, 0.750, 0.750)
Pd (0.250, 0.250, 0.250)

Values from the calculation:
D(E_F): 3.678 states/eV/cell

=====

Arrangement B

First-principles (GGA-PBE) data for NdTmPd2 after structural relaxation, as listed in Alexandria via LeMat-Bulk.

Cell lengths 3.790, 4.586, 5.653 Å; angles 90.00, 109.62, 90.00 degrees
Sites, in units of the cell vectors:
Nd (0.722, 0.000, 0.983)
Pd (0.995, 0.000, 0.529)
Pd (0.167, 0.500, 0.872)
Tm (0.448, 0.500, 0.434)

Values from the calculation:
D(E_F): 2.657 states/eV/cell

=====

Arrangement C

First-principles (GGA-PBE) data for NdTmPd2 after structural relaxation, as listed in Alexandria via LeMat-Bulk.

Cell lengths 3.470, 3.470, 7.355 Å; angles 90.00, 90.00, 90.00 degrees
Sites, in units of the cell vectors:
Pd (0.000, 0.000, 0.776)
Pd (0.000, 0.000, 0.224)
Tm (0.500, 0.500, 0.000)
Nd (0.500, 0.500, 0.500)

Values from the calculation:
D(E_F): 3.149 states/eV/cell

=====

Arrangement D

First-principles (GGA-PBE) data for NdTmPd2 after structural relaxation, as listed in Alexandria via LeMat-Bulk.

Cell lengths 4.169, 4.169, 6.990 Å; angles 72.65, 72.65, 60.00 degrees
Sites, in units of the cell vectors:
Nd (0.500, 0.500, 0.500)
Pd (0.257, 0.257, 0.229)
Pd (0.743, 0.743, 0.771)
Tm (0.000, 0.000, 0.000)

Values from the calculation:
D(E_F): 2.525 states/eV/cell

=====

Short version: arrangement B is the most stable of them.